# CrCoRh2

A relaxed CrCoRh2 crystal (PBE, Alexandria via LeMat-Bulk).

The space group is Amm2 (No. 38) and the conventional cell measures 3.9958, 2.6694 and 9.6198 Å, with angles of 90.00, 90.00 and 90.00 degrees. The asymmetric unit holds Cr at (0.0000, 0.0000, 0.0000), Co at (0.5000, 0.0000, 0.8707), Rh at (0.0000, 0.0000, 0.2682) and Rh at (0.5000, 0.0000, 0.6046).

The total moment is 1.64 μB/cell. Its crystal system is orthorhombic. As for the density of states at the Fermi level: 1.01 states/eV per atom. The calculation puts the calculated formation energy at -8 meV/atom.